Entry 1:
# LaPm6Tl3 GGA-PBE optimized geometry
data_LaPm6Tl3
_cell_length_a 10.170
_cell_length_b 5.416
_cell_length_c 11.660
_cell_angle_alpha 90.00
_cell_angle_beta 101.95
_cell_angle_gamma 90.00
_symmetry_space_group_name_H-M 'P 1 21/m 1'
_symmetry_Int_Tables_number 11
loop_
_symmetry_equiv_pos_as_xyz
'x,y,z'
'-x,-y,-z'
'-x,y+1/2,-z'
'x,-y+1/2,z'
loop_
_atom_site_label
_atom_site_fract_x
_atom_site_fract_y
_atom_site_fract_z
La1 0.043 0.250 0.406
Pm1 0.073 0.750 0.909
Pm2 0.134 0.750 0.226
Pm3 0.185 0.250 0.720
Pm4 0.276 0.750 0.520
Pm5 0.359 0.250 0.308
Pm6 0.452 0.750 0.096
Tl1 0.238 0.250 0.025
Tl2 0.358 0.750 0.809
Tl3 0.460 0.250 0.607
# ΔE_f	-0.2096	eV/atom

***

Entry 2:
# LiNd2NpO6 GGA-PBE optimized geometry
data_LiNd2NpO6
_cell_length_a 5.8910
_cell_length_b 5.8910
_cell_length_c 14.7695
_cell_angle_alpha 90.00
_cell_angle_beta 90.00
_cell_angle_gamma 120.00
_symmetry_space_group_name_H-M 'R 3'
_symmetry_Int_Tables_number 146
_symmetry_space_group_name_Hall 'R 3'
loop_
_atom_site_label
_atom_site_fract_x
_atom_site_fract_y
_atom_site_fract_z
Li1 0.0000 0.0000 0.0000
Nd1 0.0000 0.0000 0.2727
Nd2 0.0000 0.0000 0.7778
Np1 0.0000 0.0000 0.4945
O1 0.0572 0.3461 0.5628
O2 0.0688 0.6954 0.0682
# formation energy (no corrections)	-2964	meV/atom

***

Entry 3:
# Mg2PtCl GGA-PBE optimized geometry
data_Mg2PtCl
_cell_length_a 6.672
_cell_length_b 6.672
_cell_length_c 6.672
_cell_angle_alpha 90.00
_cell_angle_beta 90.00
_cell_angle_gamma 90.00
_symmetry_space_group_name_H-M 'F m -3 m'
_symmetry_Int_Tables_number 225
_symmetry_space_group_name_Hall '-F 4 2 3'
loop_
_atom_site_label
_atom_site_fract_x
_atom_site_fract_y
_atom_site_fract_z
Mg1 0.250 0.250 0.250
Pt1 0.000 0.000 0.000
Cl1 0.000 0.000 0.500
# offset from the most stable computed form	0.4549	eV per atom
# formation energy (no corrections)	-540	meV/atom

***

Entry 4:
# Nd2Sm4Tl3H2 GGA-PBE optimized geometry
data_Nd2Sm4Tl3H2
_cell_length_a 4.864
_cell_length_b 4.864
_cell_length_c 25.173
_cell_angle_alpha 90.00
_cell_angle_beta 90.00
_cell_angle_gamma 90.00
_symmetry_space_group_name_H-M 'I 4/m m m'
_symmetry_Int_Tables_number 139
_symmetry_space_group_name_Hall '-I 4 2'
loop_
_atom_site_label
_atom_site_fract_x
_atom_site_fract_y
_atom_site_fract_z
Nd1 0.000 0.000 0.199
Sm1 0.000 0.500 0.084
Tl1 0.000 0.000 0.327
Tl2 0.000 0.000 0.500
H1 0.000 0.000 0.102
# E_tot	-4.139	eV/atom